A plane-wave DFT calculation with PBE was carried out for a geometry-optimized GeTe structure.

Summary:
- formation energy (no corrections) (eV per atom) = -0.078
- D(E_F) (states/eV per cell) = 0.00

abc: 12.1537 4.2332 4.3075
angles: 90.00 90.00 90.00
Last column: nearest neighbours and their distance in Å.
Atoms (fractional coordinates):
Ge 0.1368 0.2500 0.2117  6 Te 2.88-3.21
Ge 0.3632 0.7500 0.7117  6 Te 2.88-3.21
Ge 0.6368 0.2500 0.2883  6 Te 2.88-3.21
Ge 0.8632 0.7500 0.7883  6 Te 2.88-3.21
Te 0.1268 0.7500 0.7569  6 Ge 2.88-3.21
Te 0.3732 0.2500 0.2569  6 Ge 2.88-3.21
Te 0.6268 0.7500 0.7431  6 Ge 2.88-3.21
Te 0.8732 0.2500 0.2431  6 Ge 2.88-3.21

***

A plane-wave DFT calculation with PBE was carried out for a geometry-optimized Ge3Te structure.

Summary:
- formation energy (no corrections) (eV per atom) = 0.206
- D(E_F) (states/eV per cell) = 1.02

abc: 4.1517 5.1746 4.6181
angles: 90.00 90.00 90.00
Last column: nearest neighbours and their distance in Å.
Atoms (fractional coordinates):
Ge 0.0000 0.0000 0.0000  2 Ge 2.75, 2 Te 2.85
Ge 0.0000 0.5000 0.2025  4 Ge 2.61-2.75
Ge 0.5000 0.5000 0.8599  2 Ge 2.61, 2 Te 2.90
Te 0.5000 0.0000 0.5774  4 Ge 2.85-2.90

***

A plane-wave DFT calculation with PBE was carried out for a geometry-optimized GeTe3 structure.

Summary:
- formation energy (no corrections) (eV per atom) = 0.011
- D(E_F) (states/eV per cell) = 2.36

abc: 4.3242 6.3076 4.5412
angles: 90.00 90.00 90.00
Last column: nearest neighbours and their distance in Å.
Atoms (fractional coordinates):
Ge 0.0000 0.0000 0.0000  4 Te 2.87-3.16
Te 0.0000 0.5000 0.0406  4 Te 3.11-3.17, 2 Ge 3.16
Te 0.5000 0.0000 0.5854  2 Ge 2.87, 2 Te 3.16
Te 0.5000 0.5000 0.5496  6 Te 3.11-3.17

***

A plane-wave DFT calculation with PBE was carried out for a geometry-optimized GeTe structure.

Summary:
- formation energy (no corrections) (eV per atom) = 0.105

abc: 9.4429 9.4429 9.4429
angles: 90.00 90.00 90.00
Last column: nearest neighbours and their distance in Å.
Atoms (fractional coordinates):
Ge 0.1350 0.1350 0.1350  3 Te 2.81
Ge 0.1350 0.8650 0.8650  3 Te 2.81
Ge 0.3650 0.3650 0.6350  3 Te 2.81
Ge 0.3650 0.6350 0.3650  3 Te 2.81
Ge 0.6350 0.3650 0.3650  3 Te 2.81
Ge 0.6350 0.6350 0.6350  3 Te 2.81
Ge 0.8650 0.1350 0.8650  3 Te 2.81
Ge 0.8650 0.8650 0.1350  3 Te 2.81
Te 0.1608 0.1608 0.8392  3 Ge 2.81
Te 0.1608 0.8392 0.1608  3 Ge 2.81
Te 0.3392 0.3392 0.3392  3 Ge 2.81
Te 0.3392 0.6608 0.6608  3 Ge 2.81
Te 0.6608 0.3392 0.6608  3 Ge 2.81
Te 0.6608 0.6608 0.3392  3 Ge 2.81
Te 0.8392 0.1608 0.1608  3 Ge 2.81
Te 0.8392 0.8392 0.8392  3 Ge 2.81

***

A plane-wave DFT calculation with PBE was carried out for a geometry-optimized GeTe structure.

Summary:
- formation energy (no corrections) (eV per atom) = -0.072
- D(E_F) (states/eV per cell) = 0.00

abc: 6.0101 6.0101 6.0101
angles: 90.00 90.00 90.00
Last column: nearest neighbours and their distance in Å.
Atoms (fractional coordinates):
Ge 0.0000 0.0000 0.0000  6 Te 3.01
Ge 0.0000 0.5000 0.5000  6 Te 3.01
Ge 0.5000 0.0000 0.5000  6 Te 3.01
Ge 0.5000 0.5000 0.0000  6 Te 3.01
Te 0.0000 0.0000 0.5000  6 Ge 3.01
Te 0.0000 0.5000 0.0000  6 Ge 3.01
Te 0.5000 0.0000 0.0000  6 Ge 3.01
Te 0.5000 0.5000 0.5000  6 Ge 3.01

***

A plane-wave DFT calculation with PBE was carried out for a geometry-optimized GeTe3 structure.

Summary:
- formation energy (no corrections) (eV per atom) = 0.261
- D(E_F) (states/eV per cell) = 6.73

abc: 4.1895 4.1895 15.7972
angles: 90.00 90.00 90.00
Last column: nearest neighbours and their distance in Å.
Atoms (fractional coordinates):
Ge 0.0000 0.0000 0.0000  4 Te 2.96
Ge 0.5000 0.5000 0.5000  4 Te 2.96
Te 0.0000 0.0000 0.5000  4 Ge 2.96
Te 0.0000 0.5000 0.2500  4 Te 2.96
Te 0.0000 0.5000 0.7500  4 Te 2.96
Te 0.5000 0.0000 0.2500  4 Te 2.96
Te 0.5000 0.0000 0.7500  4 Te 2.96
Te 0.5000 0.5000 0.0000  4 Ge 2.96

***

A plane-wave DFT calculation with PBE was carried out for a geometry-optimized GeTe structure.

Summary:
- formation energy (no corrections) (eV per atom) = 0.046
- D(E_F) (states/eV per cell) = 1.86

abc: 11.7080 11.7080 4.0614
angles: 90.00 90.00 90.00
Last column: nearest neighbours and their distance in Å.
Atoms (fractional coordinates):
Ge 0.1590 0.2836 0.0000  3 Te 2.75, 2 Ge 3.05
Ge 0.2164 0.6590 0.5000  3 Te 2.75, 2 Ge 3.05
Ge 0.2836 0.8410 0.0000  3 Te 2.75, 2 Ge 3.05
Ge 0.3410 0.2164 0.5000  3 Te 2.75, 2 Ge 3.05
Ge 0.6590 0.7836 0.5000  3 Te 2.75, 2 Ge 3.05
Ge 0.7164 0.1590 0.0000  3 Te 2.75, 2 Ge 3.05
Ge 0.7836 0.3410 0.5000  3 Te 2.75, 2 Ge 3.05
Ge 0.8410 0.7164 0.0000  3 Te 2.75, 2 Ge 3.05
Te 0.0025 0.2554 0.5000  3 Ge 2.75
Te 0.2446 0.5025 0.0000  3 Ge 2.75
Te 0.2554 0.9975 0.5000  3 Ge 2.75
Te 0.4975 0.2446 0.0000  3 Ge 2.75
Te 0.5025 0.7554 0.0000  3 Ge 2.75
Te 0.7446 0.0025 0.5000  3 Ge 2.75
Te 0.7554 0.4975 0.0000  3 Ge 2.75
Te 0.9975 0.7446 0.5000  3 Ge 2.75

***

A plane-wave DFT calculation with PBE was carried out for a geometry-optimized GeTe structure.

Summary:
- formation energy (no corrections) (eV per atom) = 0.062

abc: 10.4638 10.4638 4.1720
angles: 90.00 90.00 120.00
Last column: nearest neighbours and their distance in Å.
Atoms (fractional coordinates):
Ge 0.0596 0.6155 0.2500  3 Te 2.79-2.81, 2 Ge 2.96
Ge 0.3845 0.4442 0.2500  3 Te 2.79-2.81, 2 Ge 2.96
Ge 0.4442 0.0596 0.7500  3 Te 2.79-2.81, 2 Ge 2.96
Ge 0.5558 0.9404 0.2500  3 Te 2.79-2.81, 2 Ge 2.96
Ge 0.6155 0.5558 0.7500  3 Te 2.79-2.81, 2 Ge 2.96
Ge 0.9404 0.3845 0.7500  3 Te 2.79-2.81, 2 Ge 2.96
Te 0.1553 0.8231 0.7500  3 Ge 2.79-2.81
Te 0.1769 0.3321 0.7500  3 Ge 2.79-2.81
Te 0.3321 0.1553 0.2500  3 Ge 2.79-2.81
Te 0.6679 0.8447 0.7500  3 Ge 2.79-2.81
Te 0.8231 0.6679 0.2500  3 Ge 2.79-2.81
Te 0.8447 0.1769 0.2500  3 Ge 2.79-2.81

***

A plane-wave DFT calculation with PBE was carried out for a geometry-optimized GeTe structure.

Summary:
- formation energy (no corrections) (eV per atom) = -0.024
- D(E_F) (states/eV per cell) = 0.16

abc: 6.9472 4.0210 4.6966
angles: 90.00 90.16 90.00
Last column: nearest neighbours and their distance in Å.
Atoms (fractional coordinates):
Ge 0.0000 0.0000 0.0000  3 Te 2.79
Ge 0.5000 0.5000 0.0000  3 Te 2.79
Te 0.1657 0.5000 0.6707  3 Ge 2.79
Te 0.6657 0.0000 0.6707  3 Ge 2.79

***

A plane-wave DFT calculation with PBE was carried out for a geometry-optimized Th2GeTe structure.

Summary:
- formation energy (no corrections) (eV per atom) = -1.009
- D(E_F) (states/eV per cell) = 6.30

abc: 4.3667 4.3667 21.9081
angles: 90.00 90.00 120.00
Last column: nearest neighbours and their distance in Å.
Atoms (fractional coordinates):
Th 0.0000 0.0000 0.2387  3 Ge 2.97, 3 Te 3.26
Th 0.0000 0.0000 0.7613  3 Ge 2.97, 3 Te 3.26
Th 0.3333 0.6667 0.4279  3 Ge 2.97, 3 Te 3.26
Th 0.3333 0.6667 0.9054  3 Ge 2.97, 3 Te 3.26
Th 0.6667 0.3333 0.0946  3 Ge 2.97, 3 Te 3.26
Th 0.6667 0.3333 0.5721  3 Ge 2.97, 3 Te 3.26
Ge 0.0000 0.0000 0.5000  6 Th 2.97
Ge 0.3333 0.6667 0.1667  6 Th 2.97
Ge 0.6667 0.3333 0.8333  6 Th 2.97
Te 0.0000 0.0000 0.0000  6 Th 3.26
Te 0.3333 0.6667 0.6667  6 Th 3.26
Te 0.6667 0.3333 0.3333  6 Th 3.26